# Ac4RhS2N | Alexandria via LeMat-Bulk | PBE | relaxed
# Spin magnetization, Bohr magnetons per cell: 0.000
# E_tot, eV/atom: -6.412
# Formation energy from raw total energies, eV per atom: -1.37
data_Ac4RhS2N
_cell_length_a 7.2157
_cell_length_b 4.1956
_cell_length_c 7.5147
_cell_angle_alpha 90.00
_cell_angle_beta 107.33
_cell_angle_gamma 90.00
_symmetry_space_group_name_H-M 'P 1 2/m 1'
_symmetry_Int_Tables_number 10
_symmetry_space_group_name_Hall '-P 2y'
loop_
_atom_site_label
_atom_site_type_symbol
_atom_site_fract_x
_atom_site_fract_y
_atom_site_fract_z
Ac1 Ac 0.2326 0.0000 0.2768
Ac2 Ac 0.2368 0.5000 0.7237
Rh1 Rh 0.5000 0.5000 0.5000
S1 S 0.0000 0.5000 0.0000
S2 S 0.5000 0.0000 0.0000
N1 N 0.0000 0.0000 0.5000

=====

# Ac3RhSN | Alexandria via LeMat-Bulk | PBE | relaxed
# Spin magnetization, Bohr magnetons per cell: 0.000
# E_tot, eV/atom: -6.513
# Formation energy from raw total energies, eV per atom: -1.16
data_Ac3RhSN
_cell_length_a 8.9899
_cell_length_b 4.2049
_cell_length_c 9.8011
_cell_angle_alpha 90.00
_cell_angle_beta 100.00
_cell_angle_gamma 90.00
_symmetry_space_group_name_H-M 'P 1 21/m 1'
_symmetry_Int_Tables_number 11
_symmetry_space_group_name_Hall '-P 2yb'
loop_
_atom_site_label
_atom_site_type_symbol
_atom_site_fract_x
_atom_site_fract_y
_atom_site_fract_z
Ac1 Ac 0.0885 0.2500 0.3488
Ac2 Ac 0.3216 0.2500 0.9879
Ac3 Ac 0.3892 0.7500 0.6551
Rh1 Rh 0.1484 0.2500 0.6491
S1 S 0.3350 0.7500 0.2995
N1 N 0.4149 0.7500 0.8991

=====

# Ac3Sb2Rh2N3 | Alexandria via LeMat-Bulk | PBE | relaxed
# Spin magnetization, Bohr magnetons per cell: 0.000
# E_tot, eV/atom: -6.812
# Formation energy from raw total energies, eV per atom: -0.79
data_Ac3Sb2Rh2N3
_cell_length_a 4.1250
_cell_length_b 4.1250
_cell_length_c 24.5575
_cell_angle_alpha 90.00
_cell_angle_beta 90.00
_cell_angle_gamma 90.00
_symmetry_space_group_name_H-M 'I 4/m m m'
_symmetry_Int_Tables_number 139
_symmetry_space_group_name_Hall '-I 4 2'
loop_
_atom_site_label
_atom_site_type_symbol
_atom_site_fract_x
_atom_site_fract_y
_atom_site_fract_z
Ac1 Ac 0.0000 0.0000 0.0000
Ac2 Ac 0.0000 0.0000 0.3923
Sb1 Sb 0.0000 0.0000 0.1874
Rh1 Rh 0.0000 0.5000 0.2500
N1 N 0.0000 0.0000 0.1009
N2 N 0.0000 0.0000 0.5000